! Tm6PuSc2 (PBE-GGA, optimized geometry); values from VASP
&SYSTEM
  ibrav = 0, nat = 18, ntyp = 3
/
ATOMIC_SPECIES
Tm 168.93 Tm.upf
Pu 244.00 Pu.upf
Sc 44.96 Sc.upf
ATOMIC_POSITIONS crystal
Tm 0.631 0.597 0.596
Tm 0.869 0.404 0.403
Tm 0.369 0.403 0.404
Tm 0.131 0.596 0.597
Tm 0.901 0.893 0.365
Tm 0.599 0.635 0.107
Tm 0.099 0.107 0.635
Tm 0.401 0.365 0.893
Tm 0.099 0.634 0.107
Tm 0.401 0.893 0.366
Tm 0.901 0.366 0.893
Tm 0.599 0.107 0.634
Pu 0.250 0.000 0.000
Pu 0.750 0.000 0.000
Sc 0.361 0.785 0.785
Sc 0.139 0.215 0.215
Sc 0.639 0.215 0.215
Sc 0.861 0.785 0.785
CELL_PARAMETERS angstrom
-5.993 1.396 -3.378
1.193 -6.481 -5.743
-4.186 -6.723 3.700
! space-group type: No. 12


! ReNiIr2 (PBE-GGA, optimized geometry); values from VASP
&SYSTEM
  ibrav = 0, nat = 4, ntyp = 3
/
ATOMIC_SPECIES
Re 186.21 Re.upf
Ir 192.22 Ir.upf
Ni 58.69 Ni.upf
ATOMIC_POSITIONS crystal
Re 0.500 0.500 0.750
Ir 0.000 0.000 0.005
Ir 0.000 0.000 0.495
Ni 0.500 0.500 0.250
CELL_PARAMETERS angstrom
2.735 0.000 0.000
0.000 2.735 0.000
0.000 0.000 7.412
! space-group type: No. 123
! relative energy among the computed polymorphs: 53 meV/atom


! NbSeI (PBE-GGA, optimized geometry); values from VASP
&SYSTEM
  ibrav = 0, nat = 12, ntyp = 3
/
ATOMIC_SPECIES
Nb 92.91 Nb.upf
Se 78.96 Se.upf
I 126.90 I.upf
ATOMIC_POSITIONS crystal
Nb 0.402 0.402 0.402
Nb 0.402 0.795 0.402
Nb 0.795 0.402 0.402
Nb 0.402 0.402 0.795
Se 0.631 0.106 0.631
Se 0.631 0.631 0.106
Se 0.106 0.631 0.631
Se 0.631 0.631 0.631
I 0.128 0.128 0.128
I 0.617 0.128 0.128
I 0.128 0.617 0.128
I 0.128 0.128 0.617
CELL_PARAMETERS angstrom
-5.117 -2.212 5.347
-7.021 -2.409 -2.137
-1.897 -7.457 0.679
! space-group type: No. 216
! formation energy without anion corrections: -0.735 eV/atom


! Na2Nd2Hg7 (PBE-GGA, optimized geometry); values from VASP
&SYSTEM
  ibrav = 0, nat = 11, ntyp = 3
/
ATOMIC_SPECIES
Na 22.99 Na.upf
Nd 144.24 Nd.upf
Hg 200.59 Hg.upf
ATOMIC_POSITIONS crystal
Na 0.739 0.000 0.261
Na 0.261 0.000 0.739
Nd 0.808 0.500 0.808
Nd 0.192 0.500 0.192
Hg 0.000 0.250 0.500
Hg 0.500 0.750 0.000
Hg 0.000 0.750 0.500
Hg 0.500 0.250 0.000
Hg 0.000 0.000 0.000
Hg 0.500 0.748 0.500
Hg 0.500 0.252 0.500
CELL_PARAMETERS angstrom
-7.436 -1.015 -0.324
0.686 -5.593 1.800
0.275 2.329 7.136
! space-group type: No. 65


! SrAgI (PBE-GGA, optimized geometry); values from VASP
&SYSTEM
  ibrav = 0, nat = 6, ntyp = 3
/
ATOMIC_SPECIES
I 126.90 I.upf
Sr 87.62 Sr.upf
Ag 107.87 Ag.upf
ATOMIC_POSITIONS crystal
I 0.615 0.729 0.851
I 0.385 0.271 0.149
Sr 0.284 0.070 0.737
Sr 0.716 0.930 0.263
Ag 0.083 0.661 0.400
Ag 0.917 0.339 0.600
CELL_PARAMETERS angstrom
4.956 0.000 0.000
-2.462 5.500 0.000
-0.019 -2.297 8.453
! space-group type: No. 2
! formation energy without anion corrections: -0.741 eV/atom
! relative energy among the computed polymorphs: 196 meV/atom


! Th4Np (PBE-GGA, optimized geometry); values from VASP
&SYSTEM
  ibrav = 0, nat = 5, ntyp = 2
/
ATOMIC_SPECIES
Np 237.00 Np.upf
Th 232.04 Th.upf
ATOMIC_POSITIONS crystal
Np 0.500 0.500 0.500
Th 0.000 0.000 0.000
Th 0.500 0.000 0.500
Th 0.000 0.500 0.500
Th 0.500 0.500 0.000
CELL_PARAMETERS angstrom
-1.080 -0.924 -5.354
1.826 -5.203 0.529
-5.117 -1.662 1.319
! space-group type: No. 221


| no. | E_tot (eV/cell) |
| --- | --- |
| 1 | -104.29 |
| 2 | -36.32 |
| 3 | -69.24 |
| 4 | -15.19 |
| 5 | -16.61 |
| 6 | -39.32 |